[1]
A relaxed structure of SrRe3Tc, computed with PBE-GGA.

Unit cell a=4.646 b=4.646 c=4.646 alpha=90.00 beta=90.00 gamma=90.00
Fractional coordinates of all 5 atoms:
Re (0.000, 0.000, 0.500)
Sr (0.000, 0.000, 0.000)
Re (0.000, 0.500, 0.000)
Tc (0.500, 0.500, 0.500)
Re (0.500, 0.000, 0.000)

Calculated values
Its crystal system is cubic. The value obtained for the energy relative to the elements is 3.92 eV per atom. For the magnetic moment, the calculation gives 0.0 μB per formula unit. The total energy comes out at -0.219 hartree per atom. Its space group is Pm-3m. Its energy above the most stable polymorph in this dataset is 223.66 kJ/mol of atoms.



[2]
A relaxed structure of BaSb2Pt5, computed with PBE-GGA.

Unit cell a=4.312 b=6.874 c=6.874 alpha=63.88 beta=71.72 gamma=71.72
Fractional coordinates of all 8 atoms:
Pt (0.367, 0.823, 0.442)
Ba (0.000, 0.000, 0.000)
Sb (0.757, 0.743, 0.743)
Pt (0.633, 0.558, 0.177)
Pt (0.000, 0.500, 0.500)
Pt (0.367, 0.442, 0.823)
Sb (0.243, 0.257, 0.257)
Pt (0.633, 0.177, 0.558)

Calculated values
Its crystal system is orthorhombic. For the magnetic moment, the calculation gives 0.0 μB per formula unit. The total energy comes out at -0.203 hartree per atom. Its space group is Immm.



[3]
A relaxed structure of YMnCl2, computed with PBE-GGA.

Unit cell a=10.367 b=10.367 c=10.367 alpha=19.32 beta=19.32 gamma=19.32
Each line ends with the local moment (μB).
Fractional coordinates of all 4 atoms:
Cl (0.022, 0.022, 0.022)  0.00
Y (0.750, 0.750, 0.750)  -0.18
Cl (0.478, 0.478, 0.478)  0.00
Mn (0.250, 0.250, 0.250)  4.38

Calculated values
Its crystal system is trigonal. For the magnetic moment, the calculation gives 4.5 μB per formula unit. The total energy comes out at -0.205 hartree per atom. Its space group is R-3m. Its energy above the most stable polymorph in this dataset is 19.25 kJ/mol of atoms.



[4]
A relaxed structure of Sm3Mg2Pd3, computed with PBE-GGA.

Unit cell a=5.867 b=8.499 c=8.499 alpha=120.00 beta=90.00 gamma=90.00
Fractional coordinates of all 16 atoms:
Sm (0.750, 0.736, 0.736)
Sm (0.250, 0.736, 0.000)
Pd (0.250, 0.000, 0.397)
Pd (0.250, 0.603, 0.603)
Mg (0.000, 0.333, 0.667)
Sm (0.750, 0.264, 0.000)
Mg (0.000, 0.667, 0.333)
Pd (0.750, 0.000, 0.603)
Pd (0.250, 0.397, 0.000)
Mg (0.500, 0.333, 0.667)
Pd (0.750, 0.603, 0.000)
Sm (0.250, 0.000, 0.736)
Sm (0.250, 0.264, 0.264)
Pd (0.750, 0.397, 0.397)
Mg (0.500, 0.667, 0.333)
Sm (0.750, 0.000, 0.264)

Calculated values
Its crystal system is hexagonal. The value obtained for the energy relative to the elements is -0.68 eV per atom. For the magnetic moment, the calculation gives 0.0 μB per formula unit. The total energy comes out at -0.176 hartree per atom. Its space group is P6_3/mcm. Its energy above the most stable polymorph in this dataset is 0.00 kJ/mol of atoms.



[5]
A relaxed structure of Be2TcAg, computed with PBE-GGA.

Unit cell a=6.164 b=6.164 c=5.141 alpha=53.16 beta=53.16 gamma=90.00
Fractional coordinates of all 8 atoms:
Be (0.128, 0.625, 0.250)
Ag (0.000, 0.000, 0.000)
Tc (0.250, 0.750, 0.500)
Be (0.622, 0.125, 0.250)
Tc (0.500, 0.500, 0.000)
Be (0.875, 0.872, 0.750)
Be (0.375, 0.378, 0.750)
Ag (0.750, 0.250, 0.500)

Calculated values
Its crystal system is tetragonal. The value obtained for the energy relative to the elements is 0.53 eV per atom. For the magnetic moment, the calculation gives 0.0 μB per formula unit. The total energy comes out at -0.170 hartree per atom. Its space group is I-42d. Its energy above the most stable polymorph in this dataset is 44.28 kJ/mol of atoms.



[6]
A relaxed structure of Th3InRu2, computed with PBE-GGA.

Unit cell a=3.701 b=8.548 c=10.564 alpha=96.67 beta=100.09 gamma=90.00
Fractional coordinates of all 12 atoms:
Th (0.720, 0.741, 0.440)
Th (0.932, 0.205, 0.863)
Ru (0.288, 0.606, 0.576)
Ru (0.046, 0.149, 0.093)
In (0.351, 0.915, 0.701)
In (0.649, 0.085, 0.299)
Th (0.577, 0.402, 0.154)
Th (0.068, 0.795, 0.137)
Ru (0.712, 0.394, 0.424)
Th (0.280, 0.259, 0.560)
Th (0.423, 0.598, 0.846)
Ru (0.954, 0.851, 0.907)

Calculated values
Its crystal system is monoclinic. The value obtained for the energy relative to the elements is -0.03 eV per atom. For the magnetic moment, the calculation gives 0.0 μB per formula unit. The total energy comes out at -0.268 hartree per atom. Its space group is C2/m.



[7]
A relaxed structure of ZrScFeCo, computed with PBE-GGA.

Unit cell a=4.450 b=4.450 c=4.450 alpha=60.00 beta=60.00 gamma=60.00
Each line ends with the local moment (μB).
Fractional coordinates of all 4 atoms:
Fe (0.750, 0.750, 0.750)  0.27
Co (0.250, 0.250, 0.250)  0.42
Zr (0.000, 0.000, 0.000)  -0.12
Sc (0.500, 0.500, 0.500)  -0.09

Calculated values
Its crystal system is cubic. The value obtained for the energy relative to the elements is -0.26 eV per atom. For the magnetic moment, the calculation gives 0.4 μB per formula unit. The total energy comes out at -0.289 hartree per atom. Its space group is F-43m. Its energy above the most stable polymorph in this dataset is 0.69 kJ/mol of atoms.



[8]
A relaxed structure of Tb4Sm3Sn4, computed with PBE-GGA.

Unit cell a=5.085 b=3.801 c=17.417 alpha=96.26 beta=98.39 gamma=90.00
Fractional coordinates of all 11 atoms:
Sn (0.184, 0.684, 0.368)
Sm (0.353, 0.853, 0.705)
Tb (0.906, 0.406, 0.812)
Sn (0.816, 0.316, 0.632)
Tb (0.263, 0.263, 0.526)
Sm (0.000, 0.000, 0.000)
Tb (0.737, 0.737, 0.474)
Sn (0.454, 0.454, 0.908)
Sn (0.546, 0.546, 0.092)
Tb (0.094, 0.594, 0.188)
Sm (0.647, 0.147, 0.295)

Calculated values
Its crystal system is orthorhombic. The value obtained for the energy relative to the elements is -0.39 eV per atom. For the magnetic moment, the calculation gives 0.0 μB per formula unit. The total energy comes out at -0.177 hartree per atom. Its space group is Immm.



[9]
A relaxed structure of CaEuEr4, computed with PBE-GGA.

Unit cell a=6.717 b=6.717 c=6.717 alpha=60.00 beta=60.00 gamma=60.00
Each line ends with the local moment (μB).
Fractional coordinates of all 6 atoms:
Er (0.625, 0.126, 0.625)  0.09
Er (0.625, 0.625, 0.126)  0.09
Er (0.625, 0.625, 0.625)  0.09
Er (0.126, 0.625, 0.625)  0.09
Eu (0.000, 0.000, 0.000)  6.92
Ca (0.250, 0.250, 0.250)  -0.01

Calculated values
Its crystal system is cubic. The value obtained for the energy relative to the elements is 0.20 eV per atom. For the magnetic moment, the calculation gives 7.8 μB per formula unit. The total energy comes out at -0.180 hartree per atom. Its space group is F-43m.



[10]
A relaxed structure of Pt2WAu2, computed with PBE-GGA.

Unit cell a=3.627 b=3.627 c=7.489 alpha=75.98 beta=75.98 gamma=90.00
Each line ends with the local moment (μB).
Fractional coordinates of all 5 atoms:
W (0.000, 0.000, 0.000)  1.18
Au (0.750, 0.250, 0.500)  0.03
Pt (0.409, 0.409, 0.183)  0.04
Pt (0.591, 0.591, 0.817)  0.04
Au (0.250, 0.750, 0.500)  0.03

Calculated values
Its crystal system is tetragonal. The value obtained for the energy relative to the elements is 0.57 eV per atom. For the magnetic moment, the calculation gives 1.6 μB per formula unit. The total energy comes out at -0.211 hartree per atom. Its space group is I4/mmm. Its energy above the most stable polymorph in this dataset is 19.36 kJ/mol of atoms.



[11]
A relaxed structure of Li2HfCo, computed with PBE-GGA.

Unit cell a=4.273 b=4.273 c=4.273 alpha=60.00 beta=60.00 gamma=60.00
Fractional coordinates of all 4 atoms:
Co (0.000, 0.000, 0.000)
Hf (0.500, 0.500, 0.500)
Li (0.250, 0.250, 0.250)
Li (0.750, 0.750, 0.750)

Calculated values
Its crystal system is cubic. The value obtained for the energy relative to the elements is 0.43 eV per atom. For the magnetic moment, the calculation gives 0.0 μB per formula unit. The total energy comes out at -0.176 hartree per atom. Its space group is Fm-3m. Its energy above the most stable polymorph in this dataset is 25.14 kJ/mol of atoms.



[12]
A relaxed structure of P2IrSeF, computed with PBE-GGA.

Unit cell a=4.721 b=3.722 c=4.721 alpha=90.00 beta=90.00 gamma=90.00
Fractional coordinates of all 5 atoms:
F (0.000, 0.500, 0.000)
P (0.000, 0.000, 0.500)
P (0.500, 0.000, 0.000)
Ir (0.500, 0.500, 0.500)
Se (0.000, 0.000, 0.000)

Calculated values
Its crystal system is tetragonal. For the magnetic moment, the calculation gives 0.0 μB per formula unit. The total energy comes out at -0.157 hartree per atom. Its space group is P4/mmm.



[13]
A relaxed structure of LiScSi2B, computed with PBE-GGA.

Unit cell a=5.036 b=4.503 c=5.036 alpha=90.00 beta=90.00 gamma=90.00
Fractional coordinates of all 5 atoms:
Si (0.500, 0.000, 0.000)
B (0.000, 0.500, 0.000)
Si (0.000, 0.000, 0.500)
Li (0.500, 0.500, 0.500)
Sc (0.000, 0.000, 0.000)

Calculated values
Its crystal system is tetragonal. For the magnetic moment, the calculation gives 0.0 μB per formula unit. The total energy comes out at -0.151 hartree per atom. Its space group is P4/mmm.



[14]
A relaxed structure of Sr2AgHg, computed with PBE-GGA.

Unit cell a=4.024 b=4.024 c=8.306 alpha=90.00 beta=90.00 gamma=89.99
Fractional coordinates of all 4 atoms:
Hg (0.500, 0.500, 0.717)
Sr (0.500, 0.500, 0.323)
Sr (0.000, 0.000, 0.927)
Ag (0.000, 0.000, 0.533)

Calculated values
Its crystal system is tetragonal. The value obtained for the energy relative to the elements is -0.26 eV per atom. For the magnetic moment, the calculation gives 0.0 μB per formula unit. The total energy comes out at -0.070 hartree per atom. Its space group is P4mm.



[15]
A relaxed structure of Co3P, computed with PBE-GGA.

Unit cell a=3.446 b=3.446 c=3.446 alpha=90.00 beta=90.00 gamma=90.00
Fractional coordinates of all 4 atoms:
Co (0.500, 0.500, 0.000)
Co (0.000, 0.500, 0.500)
P (0.000, 0.000, 0.000)
Co (0.500, 0.000, 0.500)

Calculated values
Its crystal system is cubic. The value obtained for the energy relative to the elements is -0.21 eV per atom. For the magnetic moment, the calculation gives 0.0 μB per formula unit. The total energy comes out at -0.253 hartree per atom. Its space group is Pm-3m. Its energy above the most stable polymorph in this dataset is 13.09 kJ/mol of atoms.



[16]
A relaxed structure of Rb2AlSnBr6, computed with PBE-GGA.

Unit cell a=7.949 b=7.949 c=7.938 alpha=59.95 beta=59.95 gamma=90.00
Fractional coordinates of all 10 atoms:
Br (0.734, 0.734, 0.531)
Br (0.266, 0.266, 0.469)
Br (0.735, 0.735, 0.000)
Rb (0.750, 0.250, 0.500)
Al (0.500, 0.500, 0.000)
Br (0.265, 0.265, 0.000)
Sn (0.000, 0.000, 0.000)
Rb (0.250, 0.750, 0.500)
Br (0.265, 0.735, 0.000)
Br (0.735, 0.265, 0.000)

Calculated values
Its crystal system is tetragonal. For the magnetic moment, the calculation gives 0.0 μB per formula unit. The total energy comes out at -0.115 hartree per atom. Its space group is I4/mmm.



[17]
A relaxed structure of TlRuSeO5, computed with PBE-GGA.

Unit cell a=8.677 b=8.677 c=8.120 alpha=108.91 beta=108.91 gamma=127.23
Fractional coordinates of all 16 atoms:
O (0.577, 0.049, 0.402)
Se (0.695, 0.305, 0.250)
O (0.049, 0.577, 0.902)
Se (0.305, 0.695, 0.750)
O (0.135, 0.399, 0.525)
Tl (0.000, 0.000, 0.000)
Ru (0.783, 0.217, 0.750)
O (0.865, 0.601, 0.475)
O (0.897, 0.103, 0.750)
O (0.399, 0.135, 0.025)
Ru (0.217, 0.783, 0.250)
O (0.423, 0.951, 0.598)
O (0.601, 0.865, 0.975)
Tl (0.000, 0.000, 0.500)
O (0.951, 0.423, 0.098)
O (0.103, 0.897, 0.250)

Calculated values
Its crystal system is monoclinic. For the magnetic moment, the calculation gives 0.0 μB per formula unit. The total energy comes out at -0.210 hartree per atom. Its space group is C2/c.



[18]
A relaxed structure of Li2AcPdAu, computed with PBE-GGA.

Unit cell a=4.399 b=4.200 c=6.560 alpha=108.67 beta=109.59 gamma=90.00
Fractional coordinates of all 5 atoms:
Li (0.062, 0.062, 0.123)
Ac (0.423, 0.423, 0.847)
Pd (0.843, 0.843, 0.686)
Li (0.697, 0.197, 0.394)
Au (0.187, 0.687, 0.374)

Calculated values
Its crystal system is orthorhombic. The value obtained for the energy relative to the elements is -0.51 eV per atom. For the magnetic moment, the calculation gives 0.0 μB per formula unit. The total energy comes out at -0.139 hartree per atom. Its space group is Imm2.



[19]
A relaxed structure of TbSmYSc, computed with PBE-GGA.

Unit cell a=3.787 b=5.630 c=6.705 alpha=114.82 beta=73.58 gamma=90.00
Fractional coordinates of all 4 atoms:
Sm (0.651, 0.414, 0.828)
Tb (0.195, 0.869, 0.739)
Y (0.420, 0.139, 0.278)
Sc (0.920, 0.642, 0.285)

Calculated values
Its crystal system is monoclinic. The value obtained for the energy relative to the elements is 0.11 eV per atom. For the magnetic moment, the calculation gives 0.0 μB per formula unit. The total energy comes out at -0.199 hartree per atom. Its space group is Cm. Its energy above the most stable polymorph in this dataset is 0.00 kJ/mol of atoms.



[20]
A relaxed structure of Sr3CdRu, computed with PBE-GGA.

Unit cell a=5.723 b=5.723 c=5.723 alpha=90.00 beta=90.00 gamma=90.00
Fractional coordinates of all 5 atoms:
Ru (0.000, 0.000, 0.000)
Sr (0.500, 0.000, 0.000)
Sr (0.000, 0.000, 0.500)
Cd (0.500, 0.500, 0.500)
Sr (0.000, 0.500, 0.000)

Calculated values
Its crystal system is cubic. The value obtained for the energy relative to the elements is 0.18 eV per atom. For the magnetic moment, the calculation gives 0.0 μB per formula unit. The total energy comes out at -0.105 hartree per atom. Its space group is Pm-3m. Its energy above the most stable polymorph in this dataset is 0.00 kJ/mol of atoms.